# 1
ScCuSi2 | the Alexandria database | PBE-GGA | optimized geometry; formation energy without anion corrections = 0.02 eV per atom; symmetry = F-43m; total magnetic moment = 0.0 μB/cell
1.0
4.472 0.000 0.000
2.236 3.873 0.000
2.236 1.291 3.651
Cu Sc Si
1 1 2
Direct
0.500 0.500 0.500
0.750 0.750 0.750
0.000 0.000 0.000
0.250 0.250 0.250

# 2
SmSc2Cu2Si2 | the Alexandria database | PBE-GGA | optimized geometry; formation energy without anion corrections = -0.53 eV per atom; symmetry = R-3m; total magnetic moment = 0.0 μB/cell
1.0
-1.936 0.746 -3.634
0.025 -2.899 -3.018
-7.893 -4.087 0.957
Si Cu Sc Sm
2 2 2 1
Direct
0.254 0.254 0.239
0.746 0.746 0.761
0.587 0.587 0.239
0.413 0.413 0.761
0.868 0.868 0.395
0.132 0.132 0.605
0.000 0.000 0.000

# 3
SmScCuSi | the Alexandria database | PBE-GGA | optimized geometry; formation energy without anion corrections = -0.40 eV per atom; symmetry = F-43m; total magnetic moment = 0.0 μB/cell
1.0
-4.448 1.778 -0.738
-2.392 -1.072 -4.076
-3.844 -2.948 0.150
Cu Sm Sc Si
1 1 1 1
Direct
0.000 0.000 0.000
0.750 0.750 0.750
0.250 0.250 0.250
0.500 0.500 0.500

# 4
Sc2CuSiSn | the Alexandria database | PBE-GGA | optimized geometry; formation energy without anion corrections = -0.19 eV per atom; symmetry = P4/mmm; total magnetic moment = 0.0 μB/cell
1.0
-3.116 -2.576 3.009
3.444 -1.922 1.920
0.191 3.727 3.388
Sc Si Cu Sn
2 1 1 1
Direct
0.500 0.000 0.000
0.000 0.000 0.500
0.000 0.000 0.000
0.000 0.500 0.000
0.500 0.500 0.500